[1]
# Mn2OsPt, single point on PBEsol structure, DFT meta-GGA SCAN
# energy: -44.6335 eV/atom
# formation enthalpy at 0 K: 0.28 kcal/mol of atoms
# DOS at the Fermi energy: 15.1 states/eV per cell
data_Mn2OsPt
_cell_length_a 5.9957
_cell_length_b 5.9957
_cell_length_c 5.9957
_cell_angle_alpha 90.00
_cell_angle_beta 90.00
_cell_angle_gamma 90.00
_space_group_name_H-M_alt 'F -4 3 m'
_space_group_IT_number 216
_space_group_name_Hall 'F -4 2 3'
loop_
_atom_site_label
_atom_site_type_symbol
_atom_site_fract_x
_atom_site_fract_y
_atom_site_fract_z
Mn1 Mn 0.0000 0.0000 0.0000
Mn2 Mn 0.2500 0.2500 0.2500
Os1 Os 0.2500 0.2500 0.7500
Pt1 Pt 0.0000 0.0000 0.5000

=====

[2]
# YCdTc, single point on PBEsol structure, DFT meta-GGA SCAN
# energy: -30.8666 eV/atom
# formation enthalpy at 0 K: 5.51 kcal/mol of atoms
# ΔE to the lowest computed polymorph: 0.0 kJ per mole of atoms
# DOS at the Fermi energy: 2.6 states/eV per cell
data_YCdTc
_cell_length_a 4.8742
_cell_length_b 4.8742
_cell_length_c 2.8318
_cell_angle_alpha 90.00
_cell_angle_beta 90.00
_cell_angle_gamma 120.00
_space_group_name_H-M_alt 'P 3 m 1'
_space_group_IT_number 156
loop_
_space_group_symop_operation_xyz
'x,y,z'
'-y,x-y,z'
'-x+y,-x,z'
'-y,-x,z'
'-x+y,y,z'
'x,x-y,z'
loop_
_atom_site_label
_atom_site_type_symbol
_atom_site_fract_x
_atom_site_fract_y
_atom_site_fract_z
Y1 Y 0.0000 0.0000 0.0000
Cd1 Cd 0.3333 0.6667 0.5765
Tc1 Tc 0.6667 0.3333 0.3597

=====

[3]
# YSc2Cr, single point on PBEsol structure, DFT meta-GGA SCAN
# energy: -18.4250 eV/atom
# formation enthalpy at 0 K: 5.77 kcal/mol of atoms
# ΔE to the lowest computed polymorph: 13.8 kJ per mole of atoms
# DOS at the Fermi energy: 8.0 states/eV per cell
data_YSc2Cr
_cell_length_a 6.2730
_cell_length_b 8.5931
_cell_length_c 3.2869
_cell_angle_alpha 90.00
_cell_angle_beta 90.00
_cell_angle_gamma 90.00
_space_group_name_H-M_alt 'C m m m'
_space_group_IT_number 65
_space_group_name_Hall '-C 2 2'
loop_
_atom_site_label
_atom_site_type_symbol
_atom_site_fract_x
_atom_site_fract_y
_atom_site_fract_z
Y1 Y 0.0000 0.0000 0.0000
Sc1 Sc 0.2500 0.2500 0.5000
Cr1 Cr 0.0000 0.5000 0.0000

=====

[4]
# LaMo4Au, single point on PBEsol structure, DFT meta-GGA SCAN
# energy: -41.4753 eV/atom
# formation enthalpy at 0 K: 11.34 kcal/mol of atoms
# DOS at the Fermi energy: 28.8 states/eV per cell
data_LaMo4Au
_cell_length_a 7.6069
_cell_length_b 7.6069
_cell_length_c 7.6069
_cell_angle_alpha 90.00
_cell_angle_beta 90.00
_cell_angle_gamma 90.00
_space_group_name_H-M_alt 'F -4 3 m'
_space_group_IT_number 216
_space_group_name_Hall 'F -4 2 3'
loop_
_atom_site_label
_atom_site_type_symbol
_atom_site_fract_x
_atom_site_fract_y
_atom_site_fract_z
La1 La 0.0000 0.0000 0.0000
Mo1 Mo 0.1252 0.1252 0.3748
Au1 Au 0.2500 0.2500 0.7500

=====

[5]
# HfMn6Sn6, single point on PBEsol structure, DFT meta-GGA SCAN
# energy: -29.9887 eV/atom
# formation enthalpy at 0 K: -3.77 kcal/mol of atoms
# DOS at the Fermi energy: 6.0 states/eV per cell
data_HfMn6Sn6
_cell_length_a 5.3086
_cell_length_b 5.3086
_cell_length_c 8.7953
_cell_angle_alpha 90.00
_cell_angle_beta 90.00
_cell_angle_gamma 120.00
_space_group_name_H-M_alt 'P 6/m m m'
_space_group_IT_number 191
_space_group_name_Hall '-P 6 2'
loop_
_atom_site_label
_atom_site_type_symbol
_atom_site_fract_x
_atom_site_fract_y
_atom_site_fract_z
Hf1 Hf 0.0000 0.0000 0.0000
Mn1 Mn 0.0000 0.5000 0.2469
Sn1 Sn 0.0000 0.0000 0.3283
Sn2 Sn 0.3333 0.6667 0.0000
Sn3 Sn 0.3333 0.6667 0.5000

=====

[6]
# ZrBrCl, single point on PBEsol structure, DFT meta-GGA SCAN
# energy: -20.5921 eV/atom
data_ZrBrCl
_cell_length_a 6.4920
_cell_length_b 6.4920
_cell_length_c 6.4920
_cell_angle_alpha 90.00
_cell_angle_beta 90.00
_cell_angle_gamma 90.00
_space_group_name_H-M_alt 'F -4 3 m'
_space_group_IT_number 216
_space_group_name_Hall 'F -4 2 3'
loop_
_atom_site_label
_atom_site_type_symbol
_atom_site_fract_x
_atom_site_fract_y
_atom_site_fract_z
Zr1 Zr 0.0000 0.0000 0.0000
Br1 Br 0.2500 0.2500 0.7500
Cl1 Cl 0.2500 0.2500 0.2500

=====

[7]
# Mg2FePt, single point on PBEsol structure, DFT meta-GGA SCAN
# energy: -24.8708 eV/atom
# formation enthalpy at 0 K: -6.99 kcal/mol of atoms
# DOS at the Fermi energy: 2.2 states/eV per cell
data_Mg2FePt
_cell_length_a 2.9203
_cell_length_b 3.4258
_cell_length_c 6.4878
_cell_angle_alpha 90.00
_cell_angle_beta 90.00
_cell_angle_gamma 90.00
_space_group_name_H-M_alt 'P m m 2'
_space_group_IT_number 25
loop_
_space_group_symop_operation_xyz
'x,y,z'
'-x,-y,z'
'-x,y,z'
'x,-y,z'
loop_
_atom_site_label
_atom_site_type_symbol
_atom_site_fract_x
_atom_site_fract_y
_atom_site_fract_z
Mg1 Mg 0.0000 0.0000 0.0000
Mg2 Mg 0.5000 0.5000 0.3250
Fe1 Fe 0.5000 0.5000 0.7646
Pt1 Pt 0.0000 0.0000 0.5616

=====

[8]
# FeNiIr2, single point on PBEsol structure, DFT meta-GGA SCAN
# energy: -44.1802 eV/atom
# formation enthalpy at 0 K: -1.27 kcal/mol of atoms
# ΔE to the lowest computed polymorph: 7.1 kJ per mole of atoms
# DOS at the Fermi energy: 4.1 states/eV per cell
data_FeNiIr2
_cell_length_a 2.6432
_cell_length_b 2.6432
_cell_length_c 7.0615
_cell_angle_alpha 90.00
_cell_angle_beta 90.00
_cell_angle_gamma 90.00
_space_group_name_H-M_alt 'P 4/m m m'
_space_group_IT_number 123
_space_group_name_Hall '-P 4 2'
loop_
_atom_site_label
_atom_site_type_symbol
_atom_site_fract_x
_atom_site_fract_y
_atom_site_fract_z
Fe1 Fe 0.0000 0.0000 0.0000
Ni1 Ni 0.0000 0.0000 0.5000
Ir1 Ir 0.5000 0.5000 0.2462

=====

Number 8 is which compound? FeNiIr2